Density functional theory data (PBE) for an optimized crystal structure of KTlHg2.

Results
* energy above the most stable polymorph in this dataset: 0.121 eV/atom
* space group: I-42d
* V: 37.64 Å³ per atom
* calculated formation energy: -43 meV per atom

Cell lengths 5.253, 5.253, 21.819 Å; angles 90.00, 90.00, 90.00 degrees
Atoms (fractional coordinates):
K 0.000 0.000 0.000
K 0.000 0.500 0.250
K 0.500 0.000 0.750
K 0.500 0.500 0.500
Tl 0.000 0.000 0.500
Tl 0.000 0.500 0.750
Tl 0.500 0.000 0.250
Tl 0.500 0.500 0.000
Hg 0.169 0.250 0.625
Hg 0.250 0.669 0.875
Hg 0.250 0.831 0.375
Hg 0.331 0.250 0.125
Hg 0.669 0.750 0.125
Hg 0.750 0.169 0.375
Hg 0.750 0.331 0.875
Hg 0.831 0.750 0.625